Record 1
Computed, not measured: an optimized crystal structure of AgMo2Au at the PBE level of DFT.

Properties
Energy above the most stable polymorph in this dataset (kJ/mol of formula units): 64
DOS at the Fermi energy (states/eV/f.u.): 2.39
Electronic total energy (eV per atom): -6.58
Calculated formation energy (kcal/mol of atoms): 8.564

Cell and atoms, written as CIF:
```
data_AgMo2Au
_cell_length_a 9.447
_cell_length_b 2.701
_cell_length_c 5.239
_cell_angle_alpha 90.00
_cell_angle_beta 96.20
_cell_angle_gamma 90.00
_symmetry_space_group_name_H-M 'C 1 m 1'
_symmetry_Int_Tables_number 8
_symmetry_space_group_name_Hall 'C -2y'
loop_
_atom_site_label
_atom_site_fract_x
_atom_site_fract_y
_atom_site_fract_z
Ag1 0.000 0.000 0.000
Mo1 0.006 0.500 0.494
Mo2 0.248 0.500 0.266
Au1 0.249 0.000 0.764
```


Record 2
Computed, not measured: an optimized crystal structure of Hf2TaBeTe at the PBE level of DFT.

Properties
DOS at the Fermi energy (states/eV/f.u.): 3.96
Electronic total energy (eV per atom): -7.42
Formation energy without anion corrections (eV/atom): 0.304

Cell and atoms, written as CIF:
```
data_Hf2TaBeTe
_cell_length_a 4.729
_cell_length_b 4.729
_cell_length_c 4.415
_cell_angle_alpha 90.00
_cell_angle_beta 90.00
_cell_angle_gamma 90.00
_symmetry_space_group_name_H-M 'P 4/m m m'
_symmetry_Int_Tables_number 123
_symmetry_space_group_name_Hall '-P 4 2'
loop_
_atom_site_label
_atom_site_fract_x
_atom_site_fract_y
_atom_site_fract_z
Hf1 0.000 0.500 0.000
Ta1 0.000 0.000 0.500
Be1 0.000 0.000 0.000
Te1 0.500 0.500 0.500
```


Record 3
Computed, not measured: an optimized crystal structure of Ba2Al4Ge3Pd at the PBE level of DFT.

Properties
DOS at the Fermi energy (states/eV/f.u.): 3.29
Electronic total energy (eV per atom): -4.21
Calculated formation energy (kcal/mol of atoms): -9.790

Cell and atoms, written as CIF:
```
data_Ba2Al4Ge3Pd
_cell_length_a 4.605
_cell_length_b 4.605
_cell_length_c 10.718
_cell_angle_alpha 90.00
_cell_angle_beta 90.00
_cell_angle_gamma 90.00
_symmetry_space_group_name_H-M 'P -4 m 2'
_symmetry_Int_Tables_number 115
_symmetry_space_group_name_Hall 'P -4 -2'
loop_
_atom_site_label
_atom_site_fract_x
_atom_site_fract_y
_atom_site_fract_z
Ba1 0.000 0.500 0.246
Al1 0.000 0.000 0.500
Al2 0.000 0.500 0.887
Al3 0.500 0.500 0.500
Ge1 0.000 0.000 0.000
Ge2 0.000 0.500 0.629
Pd1 0.500 0.500 0.000
```


Record 4
Computed, not measured: an optimized crystal structure of Sr2BeGa3Pt4 at the PBE level of DFT.

Properties
DOS at the Fermi energy (states/eV/f.u.): 4.40
Electronic total energy (eV per atom): -4.83
Calculated formation energy (kcal/mol of atoms): -18.300

Cell and atoms, written as CIF:
```
data_Sr2BeGa3Pt4
_cell_length_a 4.359
_cell_length_b 4.359
_cell_length_c 10.262
_cell_angle_alpha 90.00
_cell_angle_beta 90.00
_cell_angle_gamma 90.00
_symmetry_space_group_name_H-M 'P -4 m 2'
_symmetry_Int_Tables_number 115
_symmetry_space_group_name_Hall 'P -4 -2'
loop_
_atom_site_label
_atom_site_fract_x
_atom_site_fract_y
_atom_site_fract_z
Sr1 0.000 0.500 0.247
Be1 0.500 0.500 0.000
Ga1 0.000 0.000 0.000
Ga2 0.000 0.500 0.631
Pt1 0.000 0.000 0.500
Pt2 0.000 0.500 0.881
Pt3 0.500 0.500 0.500
```


Record 5
Computed, not measured: an optimized crystal structure of Pm3Sm5Tm2 at the PBE level of DFT.

Properties
Energy above the most stable polymorph in this dataset (kJ/mol of formula units): 0
DOS at the Fermi energy (states/eV/f.u.): 17.64
Electronic total energy (eV per atom): -4.49
Calculated formation energy (kcal/mol of atoms): 4.272

Cell and atoms, written as CIF:
```
data_Pm3Sm5Tm2
_cell_length_a 10.803
_cell_length_b 15.268
_cell_length_c 9.802
_cell_angle_alpha 90.00
_cell_angle_beta 123.18
_cell_angle_gamma 90.00
_symmetry_space_group_name_H-M 'C 1 2/c 1'
_symmetry_Int_Tables_number 15
_symmetry_space_group_name_Hall '-C 2yc'
loop_
_atom_site_label
_atom_site_fract_x
_atom_site_fract_y
_atom_site_fract_z
Pm1 0.000 0.229 0.250
Pm2 0.145 0.126 0.051
Sm1 0.000 0.022 0.250
Sm2 0.000 0.273 0.750
Sm3 0.000 0.473 0.750
Sm4 0.235 0.378 0.226
Tm1 0.156 0.377 0.551
```


Record 6
Computed, not measured: an optimized crystal structure of BaPaSbO6 at the PBE level of DFT.

Properties
DOS at the Fermi energy (states/eV/f.u.): 0.00
Electronic total energy (eV per atom): -7.66
Formation energy without anion corrections (eV/atom): -2.625

Cell and atoms, written as CIF:
```
data_BaPaSbO6
_cell_length_a 5.7001
_cell_length_b 5.7001
_cell_length_c 11.4297
_cell_angle_alpha 90.00
_cell_angle_beta 90.00
_cell_angle_gamma 120.00
_symmetry_space_group_name_H-M 'P -3 1 c'
_symmetry_Int_Tables_number 163
_symmetry_space_group_name_Hall '-P 3 2c'
loop_
_atom_site_label
_atom_site_fract_x
_atom_site_fract_y
_atom_site_fract_z
Ba1 0.0000 0.0000 0.0000
Pa1 0.3333 0.6667 0.2500
Sb1 0.3333 0.6667 0.7500
O1 0.0233 0.3897 0.6510
```